DFT (PBE) results for a relaxed As2RuPt crystal.

Cell: 2.959 3.004 7.456 Å, 90.00 90.00 90.00°
Space group Pmmm (No. 47)
Asymmetric unit:
As1 0.000 0.000 0.215 (multiplicity 2)
Ru1 0.500 0.500 0.000 (multiplicity 1)
Pt1 0.500 0.000 0.500 (multiplicity 1)

Properties
V	66.3	Å³/cell
formation energy from the elements	-0.63	kcal/mol of atoms
magnetization	0.00	Bohr magnetons per cell
theoretical density	11.175	g cm⁻³
density of states at the Fermi level	2.969	states/eV per cell